Entry w
# Mn2AgGe2 PBE relaxed
data_Mn2AgGe2
_space_group_name_H-M_alt 'P 4/m b m'
_space_group_IT_number 127
_space_group_name_Hall '-P 4 2ab'
_cell_length_a 7.306
_cell_length_b 7.306
_cell_length_c 2.760
_cell_angle_alpha 90.00
_cell_angle_beta 90.00
_cell_angle_gamma 90.00
loop_
_atom_site_label
_atom_site_type_symbol
_atom_site_fract_x
_atom_site_fract_y
_atom_site_fract_z
Mn1 Mn 0.131 0.369 0.000
Ag1 Ag 0.000 0.000 0.500
Ge1 Ge 0.163 0.663 0.500
# crystal system	tetragonal

---

Entry x
# Mn2AgGe2 PBE relaxed
data_Mn2AgGe2
_space_group_name_H-M_alt 'I 4/m m m'
_space_group_IT_number 139
_space_group_name_Hall '-I 4 2'
_cell_length_a 3.976
_cell_length_b 3.976
_cell_length_c 10.434
_cell_angle_alpha 90.00
_cell_angle_beta 90.00
_cell_angle_gamma 90.00
loop_
_atom_site_label
_atom_site_type_symbol
_atom_site_fract_x
_atom_site_fract_y
_atom_site_fract_z
Mn1 Mn 0.000 0.500 0.250
Ag1 Ag 0.000 0.000 0.000
Ge1 Ge 0.000 0.000 0.381
# crystal system	tetragonal

---

Which is less stable than every other structure shown? entry x is.